Entry 1:
! Sn2IBr3, relaxed, DFT PBE-GGA; values from VASP
! Excess energy over the best structure of this formula in the dataset ... 0.0 meV/atom
! Total magnetization ... 0.00 μB per formula unit
! E_form (uncorrected) ... -0.69 eV per atom
! Space group ... C2/m
&SYSTEM
  ibrav = 0, nat = 12, ntyp = 3
/
ATOMIC_SPECIES
Sn 118.71 Sn.upf
I 126.90 I.upf
Br 79.90 Br.upf
ATOMIC_POSITIONS crystal
Sn 0.126 0.126 0.383
Sn 0.373 0.373 0.130
Sn 0.627 0.627 0.870
Sn 0.874 0.874 0.617
I 0.434 0.434 0.811
I 0.566 0.566 0.189
Br 0.064 0.064 0.692
Br 0.185 0.185 0.049
Br 0.300 0.300 0.432
Br 0.700 0.700 0.568
Br 0.815 0.815 0.951
Br 0.936 0.936 0.308
CELL_PARAMETERS angstrom
9.551 -2.214 0.000
9.551 2.214 0.000
-8.673 0.000 11.413

***

Entry 2:
! SnIBr3, relaxed, DFT PBE-GGA; values from VASP
! Excess energy over the best structure of this formula in the dataset ... 375.4 meV/atom
! Total magnetization ... 1.34 μB per formula unit
! E_form (uncorrected) ... -0.21 eV per atom
! Space group ... Pm-3m
&SYSTEM
  ibrav = 0, nat = 5, ntyp = 3
/
ATOMIC_SPECIES
Sn 118.71 Sn.upf
I 126.90 I.upf
Br 79.90 Br.upf
ATOMIC_POSITIONS crystal
Sn 0.000 0.000 0.000
I 0.500 0.500 0.500
Br 0.000 0.000 0.500
Br 0.000 0.500 0.000
Br 0.500 0.000 0.000
CELL_PARAMETERS angstrom
5.649 0.000 0.000
0.000 5.649 0.000
0.000 0.000 5.649

***

Entry 3:
! SnI3Br4, relaxed, DFT PBE-GGA; values from VASP
! Total magnetization ... 1.10 μB per formula unit
! E_form (uncorrected) ... -0.31 eV per atom
! Space group ... Imm2
&SYSTEM
  ibrav = 0, nat = 8, ntyp = 3
/
ATOMIC_SPECIES
Sn 118.71 Sn.upf
I 126.90 I.upf
Br 79.90 Br.upf
ATOMIC_POSITIONS crystal
Sn 0.000 0.000 0.000
I 0.020 0.327 0.693
I 0.633 0.327 0.307
I 0.822 0.322 0.500
Br 0.224 0.038 0.814
Br 0.224 0.410 0.186
Br 0.642 0.779 0.863
Br 0.917 0.779 0.137
CELL_PARAMETERS angstrom
-5.425 7.396 3.241
5.425 -7.396 3.241
5.425 7.396 -3.241

***

Number 1: E_tot -3.123 eV per atom. Number 2: E_tot -2.321 eV per atom. Number 3: E_tot -2.231 eV per atom.